Material: SrNdHfVO6
Method: DFT, PBE with a Hubbard U
State: optimized geometry

Cell and atoms, written as POSCAR:
```
SrNdHfVO6
1.0
0.000 4.032 4.032
4.032 0.000 4.032
4.032 4.032 0.000
Sr Nd Hf V O
1 1 1 1 6
Direct
0.000 0.000 0.000 Sr
0.500 0.500 0.500 Nd
0.250 0.250 0.250 Hf
0.750 0.750 0.750 V
0.503 0.503 0.997 O
0.503 0.997 0.503 O
0.503 0.997 0.997 O
0.997 0.503 0.503 O
0.997 0.503 0.997 O
0.997 0.997 0.503 O
```

Summary:
Total magnetic moment   2.00 μB per formula unit
Uncorrected energy   -82.7 eV for the cell shown
Symmetry   F-43m
Density of states at the Fermi level   4.5 states/eV per cell